No. 1
A relaxed structure of YNpF6, computed with PBE-GGA.

Geometry as POSCAR:
```
YNpF6
1.0
-1.9691 -5.3555 -0.9303
2.6586 -1.2568 -4.9754
4.6081 -2.2075 -0.3368
Y Np F
1 1 6
Direct
0.0000 0.0000 0.0000
0.5000 0.5000 0.0000
0.7455 0.3820 0.6822
0.7455 0.0642 0.3178
0.2545 0.9358 0.6822
0.2545 0.6180 0.3178
0.7808 0.7298 0.0000
0.2192 0.2702 0.0000
```

Properties
Space group ... C2/m, No. 12

=====

No. 2
A relaxed structure of YNpF6, computed with PBE-GGA.

Geometry as POSCAR:
```
YNpF6
1.0
-0.8518 4.4056 3.0763
-4.4851 -2.2983 2.0496
4.3939 -3.2890 5.9270
Y Np F
2 2 12
Direct
0.5000 0.5000 0.7500
0.5000 0.5000 0.2500
0.0000 0.0000 0.5000
0.0000 0.0000 0.0000
0.1892 0.2609 0.3178
0.8108 0.7391 0.3178
0.7391 0.1892 0.8178
0.2609 0.8108 0.8178
0.8108 0.7391 0.6822
0.1892 0.2609 0.6822
0.2609 0.8108 0.1822
0.7391 0.1892 0.1822
0.3424 0.6953 0.5000
0.6576 0.3047 0.5000
0.3047 0.3424 0.0000
0.6953 0.6576 0.0000
```

Properties
Space group ... P4_2/m, No. 84

=====

No. 3
A relaxed structure of ZrNp2F11, computed with PBE-GGA.

Geometry as POSCAR:
```
ZrNp2F11
1.0
7.4297 0.0000 3.8726
3.4853 7.4542 2.3767
0.2631 -0.2095 8.5585
Zr Np F
2 4 22
Direct
0.7500 0.7500 0.7500
0.2500 0.2500 0.2500
0.6512 0.6821 0.3179
0.3488 0.3179 0.6821
0.8488 0.1821 0.8179
0.1512 0.8179 0.1821
0.6567 0.7080 0.5762
0.3433 0.2920 0.4238
0.0592 0.5762 0.7080
0.8433 0.9238 0.7920
0.9408 0.4238 0.2920
0.1567 0.0762 0.2080
0.4408 0.7920 0.9238
0.5592 0.2080 0.0762
0.5000 0.5000 0.5000
0.0000 0.0000 0.0000
0.8740 0.7873 0.2127
0.1260 0.2127 0.7873
0.6260 0.2873 0.7127
0.3740 0.7127 0.2873
0.4394 0.9830 0.3100
0.5606 0.0170 0.6900
0.2675 0.3100 0.9830
0.0606 0.1900 0.5170
0.7325 0.6900 0.0170
0.9394 0.8100 0.4830
0.2325 0.5170 0.1900
0.7675 0.4830 0.8100
```

Properties
Space group ... Ibam, No. 72

=====

We obtain magnetization values of 4.00, 4.00, 7.00 μB per formula unit for the records listed above, in that order.
We obtain raw formation energy values of -29.31, -29.86, -49.50 eV/f.u. for the records listed above, in that order.